VASP calculation (PBE) on a relaxed structure of Co2RhW.

a b c (Å): 4.167 4.167 4.167
angles (deg): 60.00 60.00 60.00
Site moments in Bohr magnetons follow the coordinates.
Sites, in units of the cell vectors:
Co: 0.750 0.750 0.750  0.18
Co: 0.250 0.250 0.250  0.18
W: 0.500 0.500 0.500  -0.07
Rh: 0.000 0.000 0.000  0.03

Computed properties:
The total magnetization comes out at 0.07 μB/atom. The value obtained for the total DFT energy (no corrections) is -8.4685 eV per atom. The calculation puts the density of states at the Fermi level at 1.264 states/eV/atom. The calculation puts the formation energy at 0.64 eV per formula unit. The polymorph energy (0 for the lowest one) is 236 meV/atom.